--- i ---
A geometry-optimized Cu2TeBr structure. Source: the Alexandria database, functional GGA-PBE.

Cell and atoms, written as POSCAR:
```
Cu2TeBr
1.0
3.750 0.000 0.000
-1.875 3.248 0.000
0.000 0.000 20.854
Cu Te Br
6 3 3
direct
0.000 0.000 0.000
0.000 0.000 0.180
0.333 0.667 0.667
0.333 0.667 0.847
0.667 0.333 0.333
0.667 0.333 0.513
0.000 0.000 0.594
0.333 0.667 0.260
0.667 0.333 0.927
0.000 0.000 0.770
0.333 0.667 0.437
0.667 0.333 0.104
```

## Properties
The value obtained for the density is 6.6 g/cm3.


--- ii ---
A geometry-optimized Cu2TeBr structure. Source: the Alexandria database, functional GGA-PBE.

Cell and atoms, written as POSCAR:
```
Cu2TeBr
1.0
3.814 0.000 0.000
0.000 3.826 0.000
0.000 0.000 7.016
Cu Te Br
2 1 1
direct
0.000 0.000 0.000
0.500 0.500 0.001
0.500 0.000 0.248
0.000 0.500 0.750
```

## Properties
The value obtained for the density is 5.4 g/cm3.


Ranked by calculated energy, most stable first: ii, i.